[1]
Density functional theory data (PBE) for a geometry-optimized CaTbPu4 structure.

Cell: 6.3348 6.3348 6.3348 Å, 60.00 60.00 60.00°
Positions (direct):
Ca: 0.0000 0.0000 0.0000
Tb: 0.7500 0.7500 0.7500
Pu: 0.3756 0.3756 0.3756
Pu: 0.3756 0.3756 0.8731
Pu: 0.3756 0.8731 0.3756
Pu: 0.8731 0.3756 0.3756

Calculated values
Energy of formation from the pure elements   0.30 eV per atom
Volume   179.8 Å³ per cell
Crystal system   cubic

=====

[2]
Density functional theory data (PBE) for a geometry-optimized Na3LaW structure.

Cell: 5.4220 5.4220 5.4220 Å, 90.00 90.00 90.00°
Positions (direct):
Na: 0.0000 0.0000 0.5000
Na: 0.0000 0.5000 0.0000
Na: 0.5000 0.0000 0.0000
La: 0.0000 0.0000 0.0000
W: 0.5000 0.5000 0.5000

Calculated values
Energy of formation from the pure elements   2.49 eV per atom
Excess energy over the best structure of this formula in the dataset   894.9 meV per atom
Volume   159.4 Å³ per cell
Crystal system   cubic

=====

[3]
Density functional theory data (PBE) for a geometry-optimized ScOsPt2S structure.

Cell: 5.0236 5.0236 4.2375 Å, 90.00 90.00 90.00°
Positions (direct):
Sc: 0.0000 0.0000 0.0000
Os: 0.5000 0.5000 0.5000
Pt: 0.0000 0.5000 0.5000
Pt: 0.5000 0.0000 0.5000
S: 0.5000 0.5000 0.0000

Calculated values
Volume   106.9 Å³ per cell
Crystal system   tetragonal
ΔE_f (raw)   1.83 eV/f.u.